[1]
DFT (PBE) results for a relaxed structure of NbCrB.

Summary:
formation enthalpy at 0 K: 0.017 eV per atom
total magnetic moment: 0.59 Bohr magnetons per cell
volume: 13.1 Å³/atom
space-group type: P4_12_12 (92)

a b c (Å): 5.019 5.019 6.245
angles (deg): 90.00 90.00 90.00
Sites, in units of the cell vectors:
1 Nb 0.219 0.219 0.000
2 Nb 0.281 0.719 0.250
3 Nb 0.719 0.281 0.750
4 Nb 0.781 0.781 0.500
5 Cr 0.189 0.189 0.500
6 Cr 0.311 0.689 0.750
7 Cr 0.689 0.311 0.250
8 Cr 0.811 0.811 0.000
9 B 0.031 0.969 0.750
10 B 0.469 0.469 0.500
11 B 0.531 0.531 0.000
12 B 0.969 0.031 0.250



[2]
DFT (PBE) results for a relaxed structure of SrPuI6.

Summary:
total magnetic moment: 4.00 Bohr magnetons per cell
total energy: -4.292 eV per atom
volume: 47.1 Å³/atom
space-group type: R-3 (148)

a b c (Å): 8.475 8.475 8.475
angles (deg): 54.65 54.65 54.65
Sites, in units of the cell vectors:
1 Sr 0.000 0.000 0.000
2 Pu 0.500 0.500 0.500
3 I 0.095 0.436 0.727
4 I 0.273 0.905 0.564
5 I 0.436 0.727 0.095
6 I 0.564 0.273 0.905
7 I 0.727 0.095 0.436
8 I 0.905 0.564 0.273



[3]
DFT (PBE) results for a relaxed structure of LiAcScRh.

Summary:
formation enthalpy at 0 K: -0.279 eV per atom
total magnetic moment: 0.00 Bohr magnetons per cell
volume: 22.7 Å³/atom
space-group type: F-43m (216)

a b c (Å): 5.048 5.048 5.048
angles (deg): 60.00 60.00 60.00
Sites, in units of the cell vectors:
1 Li 0.000 0.000 0.000
2 Ac 0.250 0.250 0.250
3 Sc 0.750 0.750 0.750
4 Rh 0.500 0.500 0.500



[4]
DFT (PBE) results for a relaxed structure of CsBaSbSe4.

Summary:
total magnetic moment: 0.00 Bohr magnetons per cell
total energy: -3.995 eV per atom
volume: 39.4 Å³/atom
space-group type: P2_1/m (11)

a b c (Å): 7.649 7.461 10.086
angles (deg): 90.00 106.78 90.00
Sites, in units of the cell vectors:
1 Cs 0.237 0.250 0.437
2 Cs 0.763 0.750 0.563
3 Ba 0.261 0.250 0.947
4 Ba 0.739 0.750 0.053
5 Sb 0.293 0.750 0.185
6 Sb 0.707 0.250 0.815
7 Se 0.094 0.750 0.342
8 Se 0.111 0.750 0.934
9 Se 0.494 0.514 0.774
10 Se 0.494 0.986 0.774
11 Se 0.506 0.014 0.226
12 Se 0.506 0.486 0.226
13 Se 0.889 0.250 0.066
14 Se 0.906 0.250 0.658



[5]
DFT (PBE) results for a relaxed structure of PmNdZr.

Summary:
formation enthalpy at 0 K: 0.105 eV per atom
total magnetic moment: 0.00 Bohr magnetons per cell
volume: 31.2 Å³/atom
space-group type: P4/nmm (129)

a b c (Å): 3.834 3.834 12.751
angles (deg): 90.00 90.00 90.00
Sites, in units of the cell vectors:
1 Pm 0.250 0.250 0.095
2 Pm 0.750 0.750 0.905
3 Nd 0.250 0.250 0.709
4 Nd 0.750 0.750 0.291
5 Zr 0.250 0.250 0.451
6 Zr 0.750 0.750 0.549



[6]
DFT (PBE) results for a relaxed structure of AcPHN3.

Summary:
total magnetic moment: 0.00 Bohr magnetons per cell
total energy: -6.878 eV per atom
volume: 12.8 Å³/atom
space-group type: C2/m (12)

a b c (Å): 5.949 5.949 5.613
angles (deg): 109.66 109.66 57.17
Sites, in units of the cell vectors:
1 Ac 0.190 0.190 0.188
2 Ac 0.810 0.810 0.812
3 P 0.479 0.479 0.755
4 P 0.521 0.521 0.245
5 H 0.219 0.781 0.500
6 H 0.781 0.219 0.500
7 N 0.199 0.685 0.244
8 N 0.315 0.801 0.756
9 N 0.318 0.318 0.687
10 N 0.682 0.682 0.313
11 N 0.685 0.199 0.244
12 N 0.801 0.315 0.756



[7]
DFT (PBE) results for a relaxed structure of TmHfOsRu.

Summary:
formation enthalpy at 0 K: -0.558 eV per atom
total magnetic moment: 0.00 Bohr magnetons per cell
volume: 18.0 Å³/atom
space-group type: P4mm (99)

a b c (Å): 3.287 3.287 6.663
angles (deg): 90.00 90.00 90.00
Sites, in units of the cell vectors:
1 Tm 0.000 0.000 0.000
2 Hf 0.000 0.000 0.500
3 Os 0.500 0.500 0.733
4 Ru 0.500 0.500 0.264



[8]
DFT (PBE) results for a relaxed structure of RbSb2SeS.

Summary:
total magnetic moment: 1.51 Bohr magnetons per cell
total energy: -3.111 eV per atom
volume: 32.9 Å³/atom
space-group type: P4/mmm (123)

a b c (Å): 5.545 5.545 5.350
angles (deg): 90.00 90.00 90.00
Sites, in units of the cell vectors:
1 Rb 0.000 0.000 0.000
2 Sb 0.000 0.500 0.500
3 Sb 0.500 0.000 0.500
4 Se 0.500 0.500 0.500
5 S 0.500 0.500 0.000



> The highest total magnetic moment belongs to which entry?

SrPuI6



> Which value of volume does entry 6 give?

12.8 Å³/atom



> The highest volume belongs to which entry?

SrPuI6